Entry 1:
{
  "formula": "Cu17Rh2",
  "functional": "PBE",
  "state": "relaxed",
  "m_tot_mub_per_fu": 0.0,
  "vol_a3_per_cell": 243,
  "e_tot_ev_per_atom": -4.28,
  "formation_enthalpy_0k_ev_per_atom": 0.16,
  "crystal_system": "trigonal",
  "cell": [[0.9058, 5.8492, -2.1862], [-4.7454, 2.9051, 2.9757], [3.2143, 2.3837, 4.8785]],
  "species": ["Cu", "Cu", "Cu", "Cu", "Cu", "Cu", "Cu", "Cu", "Cu", "Cu", "Cu", "Cu", "Cu", "Cu", "Cu", "Cu", "Cu", "Rh", "Rh"],
  "frac_coords": [[0.9030, 0.9030, 0.9030], [0.5000, 0.0000, 0.0000], [0.8432, 0.3516, 0.3516], [0.3081, 0.6919, 0.0000], [0.0000, 0.6919, 0.3081], [0.6919, 0.0000, 0.3081], [0.6484, 0.1568, 0.6484], [0.0000, 0.5000, 0.0000], [0.3516, 0.8432, 0.3516], [0.0000, 0.0000, 0.5000], [0.6919, 0.3081, 0.0000], [0.0970, 0.0970, 0.0970], [0.6484, 0.6484, 0.1568], [0.3516, 0.3516, 0.8432], [0.3081, 0.0000, 0.6919], [0.0000, 0.3081, 0.6919], [0.1568, 0.6484, 0.6484], [0.6903, 0.6903, 0.6903], [0.3097, 0.3097, 0.3097]]
}

Entry 2:
{
  "formula": "Cu3Rh",
  "functional": "PBE",
  "state": "relaxed",
  "m_tot_mub_per_fu": 0.0,
  "vol_a3_per_cell": 101,
  "e_tot_ev_per_atom": -4.87,
  "formation_enthalpy_0k_ev_per_atom": 0.04,
  "crystal_system": "hexagonal",
  "cell": [[-1.5839, 4.9049, 0.9640], [-0.3263, -1.9541, -4.8549], [-3.9091, -1.4268, 0.8371]],
  "species": ["Cu", "Cu", "Cu", "Cu", "Cu", "Cu", "Rh", "Rh"],
  "frac_coords": [[0.3294, 0.1647, 0.2500], [0.8353, 0.1647, 0.2500], [0.6706, 0.8353, 0.7500], [0.1647, 0.8353, 0.7500], [0.8353, 0.6706, 0.2500], [0.1647, 0.3294, 0.7500], [0.6667, 0.3333, 0.7500], [0.3333, 0.6667, 0.2500]]
}

Entry 3:
{
  "formula": "CuRh4",
  "functional": "PBE",
  "state": "relaxed",
  "m_tot_mub_per_fu": 0.0,
  "de_polymorph_mev_per_atom": 0.0,
  "vol_a3_per_cell": 69,
  "e_tot_ev_per_atom": -6.68,
  "formation_enthalpy_0k_ev_per_atom": 0.02,
  "crystal_system": "trigonal",
  "cell": [[-1.6961, 2.1029, -0.1989], [-2.5903, -0.2740, 0.7442], [1.1682, 3.6658, 10.3471]],
  "species": ["Rh", "Rh", "Rh", "Rh", "Cu"],
  "frac_coords": [[0.3986, 0.3986, 0.8042], [0.7995, 0.7995, 0.6015], [0.6014, 0.6014, 0.1958], [0.2005, 0.2005, 0.3985], [0.0000, 0.0000, 0.0000]]
}

Entry 4:
{
  "formula": "Cu3Rh",
  "functional": "PBE",
  "state": "relaxed",
  "m_tot_mub_per_fu": 0.0,
  "vol_a3_per_cell": 51,
  "e_tot_ev_per_atom": -4.88,
  "formation_enthalpy_0k_ev_per_atom": 0.03,
  "crystal_system": "orthorhombic",
  "cell": [[-0.6260, 4.2235, 1.3774], [0.3227, -2.5660, 3.6659], [2.6097, 0.3759, 0.0334]],
  "species": ["Cu", "Cu", "Cu", "Rh"],
  "frac_coords": [[0.5000, 0.0000, 0.5000], [0.0000, 0.5000, 0.5000], [0.0000, 0.0000, 0.0000], [0.5000, 0.5000, 0.0000]]
}

Entry 5:
{
  "formula": "Cu5Rh",
  "functional": "PBE",
  "state": "relaxed",
  "m_tot_mub_per_fu": 0.0,
  "vol_a3_per_cell": 75,
  "e_tot_ev_per_atom": -4.60,
  "formation_enthalpy_0k_ev_per_atom": 0.03,
  "crystal_system": "orthorhombic",
  "cell": [[2.6278, 0.0000, 0.0000], [1.3139, 6.6703, 0.0000], [0.0000, 0.0000, 4.2644]],
  "species": ["Cu", "Cu", "Cu", "Cu", "Cu", "Rh"],
  "frac_coords": [[0.2170, 0.5660, 0.5000], [0.6689, 0.6622, 0.0000], [0.3349, 0.3302, 0.0000], [0.5559, 0.8882, 0.5000], [0.0045, 0.9911, 0.0000], [0.8855, 0.2289, 0.5000]]
}

Entry 6:
{
  "formula": "Cu2RuRh",
  "functional": "PBE",
  "state": "relaxed",
  "m_tot_mub_per_fu": 0.0,
  "de_polymorph_mev_per_atom": 52.8,
  "vol_a3_per_cell": 53,
  "e_tot_ev_per_atom": -6.06,
  "formation_enthalpy_0k_ev_per_atom": 0.14,
  "crystal_system": "monoclinic",
  "cell": [[4.5808, 0.0017, -0.0123], [3.7881, 2.5756, -0.0123], [0.7687, 0.2367, 4.4876]],
  "species": ["Cu", "Cu", "Ru", "Rh"],
  "frac_coords": [[0.7494, 0.7494, 0.7737], [0.0004, 0.0004, 0.9769], [0.2487, 0.2487, 0.2738], [0.5015, 0.5015, 0.4756]]
}

Entry 7:
{
  "formula": "Cu2RuRh",
  "functional": "PBE",
  "state": "relaxed",
  "m_tot_mub_per_fu": 0.6,
  "de_polymorph_mev_per_atom": 181.3,
  "vol_a3_per_cell": 54,
  "e_tot_ev_per_atom": -5.94,
  "formation_enthalpy_0k_ev_per_atom": 0.27,
  "crystal_system": "orthorhombic",
  "cell": [[2.6243, -0.0261, 0.0000], [-1.2147, 2.3264, 0.0000], [0.0000, 0.0000, 8.8867]],
  "species": ["Rh", "Ru", "Cu", "Cu"],
  "frac_coords": [[0.5000, 0.5000, 0.2500], [0.5000, 0.5000, 0.7500], [0.0000, 0.0000, 0.4992], [0.0000, 0.0000, 0.0008]]
}

Entry 8:
{
  "formula": "Cu2RuRh4",
  "functional": "PBE",
  "state": "relaxed",
  "m_tot_mub_per_fu": 0.0,
  "vol_a3_per_cell": 98,
  "e_tot_ev_per_atom": -6.59,
  "formation_enthalpy_0k_ev_per_atom": 0.10,
  "crystal_system": "orthorhombic",
  "cell": [[-1.1055, 0.1092, 2.4606], [2.1010, -1.3504, 1.0038], [6.9127, 11.5805, 1.1104]],
  "species": ["Rh", "Rh", "Rh", "Rh", "Ru", "Cu", "Cu"],
  "frac_coords": [[0.0708, 0.5000, 0.1416], [0.9292, 0.5000, 0.8584], [0.3573, 0.0000, 0.7146], [0.6427, 0.0000, 0.2854], [0.5000, 0.0000, 0.0000], [0.7886, 0.5000, 0.5773], [0.2114, 0.5000, 0.4227]]
}

Entry 9:
{
  "formula": "CuRu2Rh2",
  "functional": "PBE",
  "state": "relaxed",
  "m_tot_mub_per_fu": 0.0,
  "de_polymorph_mev_per_atom": 0.0,
  "vol_a3_per_cell": 151,
  "e_tot_ev_per_atom": -7.09,
  "formation_enthalpy_0k_ev_per_atom": 0.38,
  "crystal_system": "tetragonal",
  "cell": [[-4.0787, -5.2289, 3.3375], [5.7327, -1.6512, 4.4189], [-0.8725, 1.8425, 1.8204]],
  "species": ["Rh", "Rh", "Rh", "Rh", "Cu", "Cu", "Ru", "Ru", "Ru", "Ru"],
  "frac_coords": [[0.6747, 0.8253, 0.5000], [0.3253, 0.1747, 0.5000], [0.8253, 0.3253, 0.5000], [0.1747, 0.6747, 0.5000], [0.5000, 0.5000, 0.0000], [0.0000, 0.0000, 0.0000], [0.1206, 0.3794, 0.0000], [0.6206, 0.1206, 0.0000], [0.3794, 0.8794, 0.0000], [0.8794, 0.6206, 0.0000]]
}

Entry 10:
{
  "formula": "CuRu2Rh8",
  "functional": "PBE",
  "state": "relaxed",
  "m_tot_mub_per_fu": 0.0,
  "vol_a3_per_cell": 160,
  "e_tot_ev_per_atom": -7.20,
  "formation_enthalpy_0k_ev_per_atom": 0.21,
  "crystal_system": "orthorhombic",
  "cell": [[4.0669, 0.0000, -1.2349], [-0.7275, 5.3874, -2.3960], [-0.0051, -0.0309, 7.2972]],
  "species": ["Rh", "Rh", "Rh", "Rh", "Rh", "Rh", "Rh", "Rh", "Cu", "Ru", "Ru"],
  "frac_coords": [[0.8291, 0.8291, 0.6582], [0.3613, 0.1428, 0.7225], [0.0000, 0.7159, 0.0000], [0.0000, 0.2841, 0.0000], [0.3613, 0.5797, 0.7225], [0.6387, 0.4203, 0.2775], [0.1709, 0.1709, 0.3418], [0.6387, 0.8572, 0.2775], [0.5000, 0.0000, 0.0000], [0.8034, 0.3034, 0.6068], [0.1966, 0.6966, 0.3932]]
}

Entry 11:
{
  "formula": "Cu2RuRh",
  "functional": "PBE",
  "state": "relaxed",
  "m_tot_mub_per_fu": 0.0,
  "de_polymorph_mev_per_atom": 78.5,
  "vol_a3_per_cell": 52,
  "e_tot_ev_per_atom": -6.04,
  "formation_enthalpy_0k_ev_per_atom": 0.17,
  "crystal_system": "tetragonal",
  "cell": [[4.5909, 0.0002, 0.0000], [1.5470, 4.3224, 0.0000], [-3.0689, -2.1613, 2.6433]],
  "species": ["Cu", "Cu", "Rh", "Ru"],
  "frac_coords": [[0.2500, 0.7500, 0.5000], [0.0000, 0.0000, 0.0000], [0.5000, 0.5000, 0.0000], [0.7500, 0.2500, 0.5000]]
}

Entry 12:
{
  "formula": "Cu3RuRh",
  "functional": "PBE",
  "state": "relaxed",
  "m_tot_mub_per_fu": 3.5,
  "de_polymorph_mev_per_atom": 0.0,
  "vol_a3_per_cell": 93,
  "e_tot_ev_per_atom": -4.26,
  "formation_enthalpy_0k_ev_per_atom": 1.52,
  "crystal_system": "cubic",
  "cell": [[4.5320, 0.0000, 0.0000], [0.0000, 4.5320, 0.0000], [0.0000, 0.0000, 4.5320]],
  "species": ["Rh", "Cu", "Cu", "Cu", "Ru"],
  "frac_coords": [[0.0000, 0.0000, 0.0000], [0.5000, 0.0000, 0.0000], [0.0000, 0.5000, 0.0000], [0.0000, 0.0000, 0.5000], [0.5000, 0.5000, 0.5000]]
}

Entry 13:
{
  "formula": "Cu2RuRh",
  "functional": "PBE",
  "state": "relaxed",
  "m_tot_mub_per_fu": 1.6,
  "de_polymorph_mev_per_atom": 214.7,
  "vol_a3_per_cell": 53,
  "e_tot_ev_per_atom": -5.90,
  "formation_enthalpy_0k_ev_per_atom": 0.30,
  "crystal_system": "tetragonal",
  "cell": [[4.2697, 0.0000, 0.0000], [0.0000, 4.2697, 0.0000], [0.0000, 0.0000, 2.8910]],
  "species": ["Rh", "Cu", "Cu", "Ru"],
  "frac_coords": [[0.5000, 0.0000, 0.5000], [0.0000, 0.0000, 0.0000], [0.5000, 0.5000, 0.0000], [0.0000, 0.5000, 0.5000]]
}

Entry 14:
{
  "formula": "Cu2RuRh",
  "functional": "PBE",
  "state": "relaxed",
  "m_tot_mub_per_fu": 0.0,
  "de_polymorph_mev_per_atom": 32.6,
  "vol_a3_per_cell": 53,
  "e_tot_ev_per_atom": -6.08,
  "formation_enthalpy_0k_ev_per_atom": 0.12,
  "crystal_system": "monoclinic",
  "cell": [[-0.1239, -2.0010, -3.1427], [2.5984, -0.6572, 0.3160], [1.1920, -4.9259, 3.0893]],
  "species": ["Rh", "Ru", "Cu", "Cu"],
  "frac_coords": [[0.0000, 0.4867, 0.5139], [0.5000, 0.7629, 0.7368], [0.0000, 0.9860, 0.0138], [0.5000, 0.2643, 0.2355]]
}

Entry 15:
{
  "formula": "CuRu2Rh2",
  "functional": "PBE",
  "state": "relaxed",
  "m_tot_mub_per_fu": 0.0,
  "de_polymorph_mev_per_atom": 24.3,
  "vol_a3_per_cell": 150,
  "e_tot_ev_per_atom": -7.06,
  "formation_enthalpy_0k_ev_per_atom": 0.41,
  "crystal_system": "tetragonal",
  "cell": [[7.4424, 0.0000, 0.0000], [0.0000, 7.4424, 0.0000], [0.0000, 0.0000, 2.7137]],
  "species": ["Ru", "Ru", "Ru", "Ru", "Rh", "Rh", "Rh", "Rh", "Cu", "Cu"],
  "frac_coords": [[0.8262, 0.3262, 0.5000], [0.3262, 0.1738, 0.5000], [0.6738, 0.8262, 0.5000], [0.1738, 0.6738, 0.5000], [0.6230, 0.1230, 0.0000], [0.8770, 0.6230, 0.0000], [0.3770, 0.8770, 0.0000], [0.1230, 0.3770, 0.0000], [0.5000, 0.5000, 0.0000], [0.0000, 0.0000, 0.0000]]
}

Entry 16:
{
  "formula": "CuRuRh",
  "functional": "PBE",
  "state": "relaxed",
  "m_tot_mub_per_fu": 0.0,
  "de_polymorph_mev_per_atom": 106.5,
  "vol_a3_per_cell": 40,
  "e_tot_ev_per_atom": -6.78,
  "formation_enthalpy_0k_ev_per_atom": 0.13,
  "crystal_system": "orthorhombic",
  "cell": [[-3.3433, 3.0520, -0.7944], [-4.3730, -1.4064, -0.1490], [3.8275, 0.2165, 2.5350]],
  "species": ["Rh", "Cu", "Ru"],
  "frac_coords": [[0.3324, 0.3324, 0.0000], [0.0007, 0.0007, 0.0000], [0.6669, 0.6669, 0.0000]]
}

Entry 17:
{
  "formula": "CuRuRh",
  "functional": "PBE",
  "state": "relaxed",
  "m_tot_mub_per_fu": 0.0,
  "de_polymorph_mev_per_atom": 563.1,
  "vol_a3_per_cell": 48,
  "e_tot_ev_per_atom": -6.32,
  "formation_enthalpy_0k_ev_per_atom": 0.59,
  "crystal_system": "cubic",
  "cell": [[4.0815, 0.0000, 0.0000], [2.0408, 3.5347, 0.0000], [2.0408, 1.1782, 3.3325]],
  "species": ["Rh", "Ru", "Cu"],
  "frac_coords": [[0.7500, 0.7500, 0.7500], [0.0000, 0.0000, 0.0000], [0.5000, 0.5000, 0.5000]]
}

Entry 18:
{
  "formula": "CuRu3Rh",
  "functional": "PBE",
  "state": "relaxed",
  "m_tot_mub_per_fu": 0.0,
  "de_polymorph_mev_per_atom": 0.0,
  "vol_a3_per_cell": 84,
  "e_tot_ev_per_atom": -6.12,
  "formation_enthalpy_0k_ev_per_atom": 1.74,
  "crystal_system": "cubic",
  "cell": [[4.3769, 0.0000, 0.0000], [0.0000, 4.3769, 0.0000], [0.0000, 0.0000, 4.3769]],
  "species": ["Rh", "Cu", "Ru", "Ru", "Ru"],
  "frac_coords": [[0.5000, 0.5000, 0.5000], [0.0000, 0.0000, 0.0000], [0.0000, 0.5000, 0.0000], [0.5000, 0.0000, 0.0000], [0.0000, 0.0000, 0.5000]]
}

Entry 19:
{
  "formula": "Cu2RuRh",
  "functional": "PBE",
  "state": "relaxed",
  "m_tot_mub_per_fu": 0.0,
  "de_polymorph_mev_per_atom": 162.2,
  "vol_a3_per_cell": 54,
  "e_tot_ev_per_atom": -5.95,
  "formation_enthalpy_0k_ev_per_atom": 0.25,
  "crystal_system": "orthorhombic",
  "cell": [[2.6313, -0.0022, 0.0000], [-1.2465, 2.3174, 0.0000], [0.0000, 0.0000, 8.8674]],
  "species": ["Cu", "Cu", "Rh", "Ru"],
  "frac_coords": [[0.5000, 0.5000, 0.2431], [0.0000, 0.0000, 0.0074], [0.0000, 0.0000, 0.4963], [0.5000, 0.5000, 0.7532]]
}

Entry 20:
{
  "formula": "Cu2RuRh",
  "functional": "PBE",
  "state": "relaxed",
  "m_tot_mub_per_fu": 1.4,
  "de_polymorph_mev_per_atom": 215.1,
  "vol_a3_per_cell": 53,
  "e_tot_ev_per_atom": -5.90,
  "formation_enthalpy_0k_ev_per_atom": 0.30,
  "crystal_system": "cubic",
  "cell": [[0.0000, 2.9757, 2.9757], [2.9757, 0.0000, 2.9757], [2.9757, 2.9757, 0.0000]],
  "species": ["Rh", "Cu", "Cu", "Ru"],
  "frac_coords": [[0.5000, 0.5000, 0.5000], [0.2500, 0.2500, 0.2500], [0.7500, 0.7500, 0.7500], [0.0000, 0.0000, 0.0000]]
}